[1]
Sr4Ga3Pb (GGA-PBE, optimized geometry); formation energy from the elements = -0.45 eV per atom; space group = Pmm2 (25)
1.0
-4.7646 -0.2595 -0.9582
0.2475 -4.5408 -0.0012
-2.3545 -0.1314 11.7438
Ga Sr Pb
3 4 1
Cartesian
-4.5530 -0.2509 10.3478 Ga
-1.0449 -0.0583 5.2117 Ga
-1.1915 -2.3438 6.5596 Ga
-1.8875 -2.3827 10.0308 Sr
-3.1211 -2.4483 3.8226 Sr
-3.8862 -0.2137 7.0220 Sr
-0.3386 -0.0189 1.6888 Sr
-2.4295 -2.4097 0.3730 Pb

=====

[2]
Sr2GaPb (GGA-PBE, optimized geometry); formation energy from the elements = -0.44 eV per atom; offset from the most stable computed form = 59.7 meV/atom; space group = P4/mmm (123)
1.0
3.9653 0.0000 0.0000
0.0000 3.9653 0.0000
0.0000 0.0000 8.2483
Ga Sr Pb
1 2 1
Cartesian
1.9827 1.9827 0.0000 Ga
0.0000 0.0000 1.9247 Sr
0.0000 0.0000 6.3236 Sr
1.9827 1.9827 4.1241 Pb

=====

[3]
Sr8Ga2Pb (GGA-PBE, optimized geometry); formation energy from the elements = -0.27 eV per atom; space group = Cm (8)
1.0
5.5079 0.0654 -1.6449
-0.9383 7.3579 -2.8426
0.1273 0.6063 10.4803
Pb Sr Ga
1 8 2
Cartesian
-0.0472 7.7205 6.5319 Pb
1.3489 2.4778 0.9601 Sr
1.2525 6.3508 0.7978 Sr
3.3002 2.2781 7.4780 Sr
5.4050 1.0118 4.4278 Sr
3.2614 7.2019 -2.4825 Sr
4.6776 3.9812 2.1183 Sr
2.4725 5.6483 4.8430 Sr
0.4770 4.8058 8.1759 Sr
2.3123 2.3790 4.1659 Ga
3.7214 4.3226 -1.0591 Ga

=====

[4]
Sr3GaPb2 (GGA-PBE, optimized geometry); formation energy from the elements = -0.49 eV per atom; space group = Pnma (62)
1.0
4.7189 0.0000 0.0000
0.0000 13.5944 0.0000
0.0000 0.0000 13.3844
Sr Pb Ga
12 8 4
Cartesian
1.1797 10.8189 9.4609 Sr
1.1797 5.1638 0.8311 Sr
3.5392 8.4306 12.5533 Sr
3.5392 2.7755 3.9236 Sr
1.1797 9.5727 2.7687 Sr
3.5392 4.0217 10.6158 Sr
1.1797 0.6892 11.7678 Sr
1.1797 6.1080 5.0756 Sr
3.5392 7.4865 8.3088 Sr
3.5392 11.9611 5.8611 Sr
3.5392 12.9052 1.6166 Sr
1.1797 1.6334 7.5233 Sr
3.5392 2.5041 0.2807 Pb
1.1797 9.3013 6.4115 Pb
1.1797 6.6884 10.7605 Pb
1.1797 11.0903 13.1038 Pb
1.1797 0.1088 4.0682 Pb
3.5392 13.4857 9.3162 Pb
3.5392 4.2931 6.9729 Pb
3.5392 6.9060 2.6240 Pb
1.1797 2.0833 1.9119 Ga
3.5392 8.8806 4.7804 Ga
3.5392 11.5111 11.4726 Ga
1.1797 4.7139 8.6041 Ga

=====

[5]
Sr2GaPb (GGA-PBE, optimized geometry); formation energy from the elements = -0.44 eV per atom; offset from the most stable computed form = 57.0 meV/atom; space group = Cmmm (65)
1.0
-3.4836 -2.4762 -6.3050
7.5234 0.3822 -4.3069
1.5405 -7.3565 2.0380
Sr Pb Ga
8 4 4
Cartesian
2.5014 -1.8195 -0.6675 Sr
5.8287 -1.6505 -2.5723 Sr
5.2551 -6.3708 -5.0026 Sr
1.0590 -6.5840 -2.6005 Sr
4.5213 -2.8665 -5.9734 Sr
3.2352 -5.3238 0.3033 Sr
0.3252 -3.0797 -3.5713 Sr
6.5625 -5.1548 -1.6014 Sr
-2.7341 -1.9434 -4.9485 Pb
2.7694 -0.5142 -3.9494 Pb
1.2704 -1.5797 -6.6625 Pb
-0.7495 -0.5328 -1.3565 Pb
2.1381 -5.1887 -5.4672 Ga
-2.0613 -5.6909 -4.1058 Ga
0.1182 -4.1418 -0.1612 Ga
3.4422 -4.2617 -3.1067 Ga

=====

[6]
Sr2GaPb (GGA-PBE, optimized geometry); formation energy from the elements = -0.45 eV per atom; offset from the most stable computed form = 47.4 meV/atom; space group = Pmma (51)
1.0
-8.1669 -3.5141 -1.4050
0.8446 -2.8738 2.2780
-2.6829 3.8803 5.8900
Pb Sr Ga
2 4 2
Cartesian
-2.1968 -0.6542 -0.0108 Pb
-8.6530 1.0205 4.4958 Pb
-1.8500 1.3197 5.4592 Sr
-5.3688 -0.1943 4.8538 Sr
-8.1551 -3.8273 1.3038 Sr
-4.6364 -2.3133 1.9091 Sr
-7.6063 -0.4933 2.1980 Ga
-3.2434 0.8595 2.2869 Ga

=====

Summary of DOS(E_F) in states/eV/f.u.
5.1, 1.6, 8.2, 3.6, 1.7, 1.3
(order as listed above)